Y2ScGe2, relaxed, DFT PBE-GGA; volume = 23.31 Å³/atom; mass density = 5.2 g/cm3; polymorph energy (0 for the lowest one) = 56.0 meV/atom; crystal system = orthorhombic; M_tot = 0.001 μB/f.u.; E = -32.44 eV for the cell shown; formation energy = -0.7894 eV/atom
1.0
3.905 0.000 1.664
1.172 5.047 2.664
-0.174 -0.041 5.823
Ge Sc Y
2 1 2
Direct
0.000 0.783 0.717
0.000 0.217 0.283
0.500 0.500 0.000
0.300 0.200 0.700
0.700 0.800 0.300